AcBe3P3 after structural relaxation, computed with PBE.

Cell: 8.8297 8.8297 3.9196 Å, 90.00 90.00 120.00°
Space group P6_3/m (No. 176)
Asymmetric unit:
Ac (0.3333, 0.6667, 0.2500)
Be (0.0569, 0.6710, 0.7500)
P (0.0809, 0.3961, 0.7500)

Calculated values
**Total moment**: 0.0 μB per formula unit
**Formation energy**: -0.54 eV/atom
**Crystal system**: hexagonal
**DFT total energy**: -70.6 eV per cell
**Energy relative to the lowest polymorph listed for this composition**: 45.2 meV/atom
**V**: 265 Å³/cell